No. 1
# PmY2HoTh

An optimized crystal structure of PmY2HoTh (PBE, Alexandria).

The structure in POSCAR format:
```
PmY2HoTh
1.0
8.622 0.000 0.000
0.000 6.416 0.000
-0.848 0.000 6.243
Pm Y Ho Th
2 4 2 2
direct
0.000 0.000 0.000
0.000 0.000 0.500
0.314 0.310 0.209
0.314 0.690 0.709
0.686 0.310 0.291
0.686 0.690 0.791
0.500 0.175 0.750
0.500 0.825 0.250
0.000 0.449 0.750
0.000 0.551 0.250
```

## Properties
**Size of the total moment**: 0.00 μB per formula unit
**Electronic total energy**: -56.0 eV/cell
**Calculated formation energy**: 0.336 eV per atom


No. 2
# LiZrOs

An optimized crystal structure of LiZrOs (PBE, Alexandria).

The structure in POSCAR format:
```
LiZrOs
1.0
0.000 3.104 3.104
3.104 0.000 3.104
3.104 3.104 0.000
Li Zr Os
1 1 1
direct
0.000 0.000 0.000
0.750 0.750 0.750
0.500 0.500 0.500
```

## Properties
**Size of the total moment**: 0.00 μB per formula unit
**Electronic total energy**: -19.7 eV/cell
**Calculated formation energy**: 0.667 eV per atom